VASP calculation (GGA-PBE) on a relaxed PmPuIr crystal.

Values from the calculation:
- energy relative to the lowest polymorph listed for this composition (meV/atom) = 116
- E_form (eV/atom) = -0.388
- uncorrected energy (eV/atom) = -9.702
- N(E_F) (states/eV per cell) = 17.89

abc: 4.8263 4.8427 6.9040
angles: 90.00 90.00 90.00
Fractional positions:
Pm  0.2500  0.2500  0.0006
Pm  0.7500  0.7500  0.9994
Pu  0.2500  0.2500  0.5011
Pu  0.7500  0.7500  0.4989
Ir  0.2500  0.7500  0.2571
Ir  0.7500  0.2500  0.7429

VASP calculation (GGA-PBE) on a relaxed PmPu2Ir crystal.

Values from the calculation:
- energy relative to the lowest polymorph listed for this composition (meV/atom) = 135
- E_form (eV/atom) = -0.155
- uncorrected energy (eV/atom) = -10.724
- N(E_F) (states/eV per cell) = 13.52

abc: 3.5895 3.5895 7.8299
angles: 90.00 90.00 90.00
Fractional positions:
Pm  0.0000  0.0000  0.0000
Pu  0.5000  0.5000  0.3064
Pu  0.5000  0.5000  0.6936
Ir  0.0000  0.0000  0.5000

VASP calculation (GGA-PBE) on a relaxed PmPuIr crystal.

Values from the calculation:
- energy relative to the lowest polymorph listed for this composition (meV/atom) = 0
- E_form (eV/atom) = -0.504
- uncorrected energy (eV/atom) = -9.818
- N(E_F) (states/eV per cell) = 36.30

abc: 8.7181 8.7181 8.7181
angles: 114.00 86.82 130.44
Fractional positions:
Pm  0.9999  0.2500  0.2499
Pm  0.0001  0.7500  0.7501
Pm  0.1654  0.6241  0.0413
Pm  0.1660  0.1244  0.5416
Pm  0.5828  0.1241  0.9587
Pm  0.5828  0.6244  0.4584
Pu  0.3322  0.3322  0.0000
Pu  0.3322  0.8322  0.5000
Pu  0.5833  0.2087  0.3750
Pu  0.5833  0.7082  0.8745
Pu  0.8337  0.2082  0.6250
Pu  0.8337  0.7087  0.1255
Ir  0.2498  0.0831  0.1669
Ir  0.2498  0.5830  0.6668
Ir  0.5813  0.8318  0.2494
Ir  0.5824  0.3318  0.7506
Ir  0.9162  0.0830  0.8331
Ir  0.9162  0.5831  0.3332

VASP calculation (GGA-PBE) on a relaxed PmPu2Ir9 crystal.

Values from the calculation:
- E_form (eV/atom) = -0.455
- uncorrected energy (eV/atom) = -9.885
- N(E_F) (states/eV per cell) = 23.52

abc: 9.2928 9.2928 9.2928
angles: 33.28 33.28 33.28
Fractional positions:
Pm  0.0000  0.0000  0.0000
Pu  0.1400  0.1400  0.1400
Pu  0.8600  0.8600  0.8600
Ir  0.0810  0.5842  0.5842
Ir  0.3332  0.3332  0.3332
Ir  0.4158  0.4158  0.9190
Ir  0.4158  0.9190  0.4158
Ir  0.5000  0.5000  0.5000
Ir  0.5842  0.0810  0.5842
Ir  0.5842  0.5842  0.0810
Ir  0.6668  0.6668  0.6668
Ir  0.9190  0.4158  0.4158

VASP calculation (GGA-PBE) on a relaxed Pm2PuIr2 crystal.

Values from the calculation:
- energy relative to the lowest polymorph listed for this composition (meV/atom) = 0
- E_form (eV/atom) = -0.580
- uncorrected energy (eV/atom) = -8.891
- N(E_F) (states/eV per cell) = 15.18

abc: 6.0099 6.0099 7.9830
angles: 101.15 101.15 58.76
Fractional positions:
Pm  0.0122  0.2865  0.1489
Pm  0.2865  0.0122  0.6489
Pm  0.7135  0.9878  0.3511
Pm  0.9878  0.7135  0.8511
Pu  0.3651  0.6349  0.2500
Pu  0.6349  0.3651  0.7500
Ir  0.2199  0.5015  0.4964
Ir  0.4985  0.7801  0.0036
Ir  0.5015  0.2199  0.9964
Ir  0.7801  0.4985  0.5036

VASP calculation (GGA-PBE) on a relaxed PmPu5Ir5 crystal.

Values from the calculation:
- E_form (eV/atom) = -0.359
- uncorrected energy (eV/atom) = -11.333
- N(E_F) (states/eV per cell) = 31.54

abc: 7.0689 7.0689 7.5022
angles: 103.60 103.60 46.55
Fractional positions:
Pm  0.0000  0.0000  0.0000
Pu  0.0000  0.0000  0.5000
Pu  0.3187  0.3187  0.1468
Pu  0.3582  0.3582  0.6607
Pu  0.6418  0.6418  0.3393
Pu  0.6813  0.6813  0.8532
Ir  0.1743  0.1743  0.7859
Ir  0.1753  0.1753  0.3738
Ir  0.5000  0.5000  0.0000
Ir  0.8247  0.8247  0.6262
Ir  0.8257  0.8257  0.2141